# 1
Computed, not measured: an optimized crystal structure of NbZnHg at the PBE level of DFT.

Output
The value obtained for the formation energy is 0.716 eV/atom.

a b c (Å): 4.524 4.524 4.524
angles (deg): 60.00 60.00 60.00
Fractional coordinates of all 3 atoms:
Hg 0.250 0.250 0.250
Nb 0.000 0.000 0.000
Zn 0.750 0.750 0.750

# 2
Computed, not measured: an optimized crystal structure of YMg2Mo at the PBE level of DFT.

Output
The total energy comes out at -4.658 eV/atom.

a b c (Å): 4.951 4.951 4.951
angles (deg): 60.00 60.00 60.00
Last column: magnetic moment on the atom in μB.
Fractional coordinates of all 4 atoms:
Mg 0.000 0.000 0.000  -0.01
Mg 0.250 0.250 0.250  -0.01
Mo 0.750 0.750 0.750  0.97
Y 0.500 0.500 0.500  0.01

# 3
Computed, not measured: an optimized crystal structure of KCoTe3Au at the PBE level of DFT.

Output
The total energy comes out at -3.716 eV/atom.

a b c (Å): 8.511 8.511 10.804
angles (deg): 90.00 90.00 25.97
Fractional coordinates of all 12 atoms:
Au 0.597 0.597 0.250
Au 0.403 0.403 0.750
Co 0.000 0.000 0.000
Co 0.000 0.000 0.500
K 0.260 0.260 0.250
K 0.740 0.740 0.750
Te 0.604 0.604 0.007
Te 0.955 0.955 0.250
Te 0.604 0.604 0.493
Te 0.396 0.396 0.507
Te 0.045 0.045 0.750
Te 0.396 0.396 0.993

# 4
Computed, not measured: an optimized crystal structure of HoCdAuSe3 at the PBE level of DFT.

Output
Its energy above the most stable polymorph in this dataset is 0.265 eV per formula unit.

a b c (Å): 6.855 6.855 11.015
angles (deg): 90.00 90.00 146.58
Fractional coordinates of all 12 atoms:
Au 0.038 0.962 0.250
Au 0.962 0.038 0.750
Cd 0.729 0.271 0.250
Cd 0.271 0.729 0.750
Ho 0.500 0.500 0.000
Ho 0.500 0.500 0.500
Se 0.148 0.852 0.057
Se 0.389 0.611 0.250
Se 0.148 0.852 0.443
Se 0.852 0.148 0.557
Se 0.611 0.389 0.750
Se 0.852 0.148 0.943

# 5
Computed, not measured: an optimized crystal structure of AcNpCu at the PBE level of DFT.

Output
Its energy above the most stable polymorph in this dataset is 0.000 eV per formula unit. The value obtained for the formation energy is 0.609 eV/atom.

a b c (Å): 5.004 5.004 5.004
angles (deg): 60.00 60.00 60.00
Last column: magnetic moment on the atom in μB.
Fractional coordinates of all 3 atoms:
Ac 0.500 0.500 0.500  0.21
Cu 0.250 0.250 0.250  0.05
Np 0.000 0.000 0.000  4.27

# 6
Computed, not measured: an optimized crystal structure of ZrInTe2AuS at the PBE level of DFT.

Output
The total energy comes out at -4.718 eV/atom.

a b c (Å): 7.874 7.874 10.192
angles (deg): 90.00 90.00 150.25
Fractional coordinates of all 12 atoms:
Au 0.531 0.469 0.250
Au 0.469 0.531 0.750
In 0.256 0.744 0.250
In 0.744 0.256 0.750
S 0.934 0.066 0.250
S 0.066 0.934 0.750
Te 0.641 0.359 0.038
Te 0.641 0.359 0.462
Te 0.359 0.641 0.538
Te 0.359 0.641 0.962
Zr 0.000 0.000 0.000
Zr 0.000 0.000 0.500

What did the first record say?
Computed, not measured: an optimized crystal structure of NbZnHg at the PBE level of DFT.

Output
The value obtained for the formation energy is 0.716 eV/atom.

a b c (Å): 4.524 4.524 4.524
angles (deg): 60.00 60.00 60.00
Fractional coordinates of all 3 atoms:
Hg 0.250 0.250 0.250
Nb 0.000 0.000 0.000
Zn 0.750 0.750 0.750

Copy entry 3 word for word.
Computed, not measured: an optimized crystal structure of KCoTe3Au at the PBE level of DFT.

Output
The total energy comes out at -3.716 eV/atom.

a b c (Å): 8.511 8.511 10.804
angles (deg): 90.00 90.00 25.97
Fractional coordinates of all 12 atoms:
Au 0.597 0.597 0.250
Au 0.403 0.403 0.750
Co 0.000 0.000 0.000
Co 0.000 0.000 0.500
K 0.260 0.260 0.250
K 0.740 0.740 0.750
Te 0.604 0.604 0.007
Te 0.955 0.955 0.250
Te 0.604 0.604 0.493
Te 0.396 0.396 0.507
Te 0.045 0.045 0.750
Te 0.396 0.396 0.993